1.
# GGA-PBEsol SrZnNF2, optimized geometry
# Space group: P4/mmm (123)
# E_tot, eV/atom: -3.996
# ρ, Mg/m³: 3.12
# Crystal system: tetragonal
# Magnetization, μB/f.u.: 2.20
data_SrZnNF2
_space_group_name_H-M_alt 'P 1'
_space_group_IT_number 1
_cell_length_a 4.579
_cell_length_b 4.579
_cell_length_c 5.205
_cell_angle_alpha 90.00
_cell_angle_beta 90.00
_cell_angle_gamma 90.00
loop_
_space_group_symop_operation_xyz
'x,y,z'
loop_
_atom_site_label
_atom_site_type_symbol
_atom_site_fract_x
_atom_site_fract_y
_atom_site_fract_z
_atom_site_occupancy
Sr1 Sr 0.000 0.000 0.000 1
Zn1 Zn 0.500 0.500 0.500 1
N1 N 0.000 0.000 0.500 1
F1 F 0.000 0.500 0.000 1
F2 F 0.500 0.000 0.000 1

***

2.
# GGA-PBEsol La2Sn5Rh3, optimized geometry
# Space group: Ibam (72)
# ΔE_f, eV per atom: -0.76
# ρ, Mg/m³: 8.89
# Crystal system: orthorhombic
# Magnetization, μB/f.u.: 0.00
data_La2Sn5Rh3
_space_group_name_H-M_alt 'P 1'
_space_group_IT_number 1
_cell_length_a 6.343
_cell_length_b 8.977
_cell_length_c 8.977
_cell_angle_alpha 74.00
_cell_angle_beta 69.31
_cell_angle_gamma 69.31
loop_
_space_group_symop_operation_xyz
'x,y,z'
loop_
_atom_site_label
_atom_site_type_symbol
_atom_site_fract_x
_atom_site_fract_y
_atom_site_fract_z
_atom_site_occupancy
La1 La 0.144 0.084 0.628 1
La2 La 0.856 0.916 0.372 1
La3 La 0.356 0.372 0.916 1
La4 La 0.644 0.628 0.084 1
Sn1 Sn 0.913 0.418 0.755 1
Sn2 Sn 0.413 0.755 0.418 1
Sn3 Sn 0.087 0.582 0.245 1
Sn4 Sn 0.587 0.245 0.582 1
Sn5 Sn 0.250 0.000 0.000 1
Sn6 Sn 0.750 0.000 0.000 1
Sn7 Sn 0.971 0.279 0.279 1
Sn8 Sn 0.529 0.721 0.721 1
Sn9 Sn 0.029 0.721 0.721 1
Sn10 Sn 0.471 0.279 0.279 1
Rh1 Rh 0.142 0.754 0.963 1
Rh2 Rh 0.358 0.037 0.246 1
Rh3 Rh 0.642 0.963 0.754 1
Rh4 Rh 0.858 0.246 0.037 1
Rh5 Rh 0.250 0.500 0.500 1
Rh6 Rh 0.750 0.500 0.500 1

***

3.
# GGA-PBEsol RbTl2Bi2, optimized geometry
# Space group: I4/mmm (139)
# ΔE_f, eV per atom: -0.16
# ρ, Mg/m³: 8.21
# Crystal system: tetragonal
# Magnetization, μB/f.u.: 0.00
data_RbTl2Bi2
_space_group_name_H-M_alt 'P 1'
_space_group_IT_number 1
_cell_length_a 5.255
_cell_length_b 5.255
_cell_length_c 7.647
_cell_angle_alpha 110.10
_cell_angle_beta 110.10
_cell_angle_gamma 90.00
loop_
_space_group_symop_operation_xyz
'x,y,z'
loop_
_atom_site_label
_atom_site_type_symbol
_atom_site_fract_x
_atom_site_fract_y
_atom_site_fract_z
_atom_site_occupancy
Tl1 Tl 0.250 0.750 0.500 1
Tl2 Tl 0.750 0.250 0.500 1
Bi1 Bi 0.381 0.381 0.761 1
Bi2 Bi 0.619 0.619 0.239 1
Rb1 Rb 0.000 0.000 0.000 1

***

4.
# GGA-PBEsol MgOsSe2, optimized geometry
# Space group: P4/mmm (123)
# E_tot, eV/atom: -5.336
# ρ, Mg/m³: 9.57
# Crystal system: tetragonal
# Magnetization, μB/f.u.: 0.00
data_MgOsSe2
_space_group_name_H-M_alt 'P 1'
_space_group_IT_number 1
_cell_length_a 3.104
_cell_length_b 4.563
_cell_length_c 4.563
_cell_angle_alpha 90.00
_cell_angle_beta 90.00
_cell_angle_gamma 90.00
loop_
_space_group_symop_operation_xyz
'x,y,z'
loop_
_atom_site_label
_atom_site_type_symbol
_atom_site_fract_x
_atom_site_fract_y
_atom_site_fract_z
_atom_site_occupancy
Mg1 Mg 0.500 0.500 0.500 1
Os1 Os 0.500 0.000 0.000 1
Se1 Se 0.000 0.000 0.500 1
Se2 Se 0.000 0.500 0.000 1

***

5.
# GGA-PBEsol Y2MgCdF, optimized geometry
# Space group: P4/mmm (123)
# E_tot, eV/atom: -3.672
# ρ, Mg/m³: 3.73
# Crystal system: tetragonal
# Magnetization, μB/f.u.: 1.62
data_Y2MgCdF
_space_group_name_H-M_alt 'P 1'
_space_group_IT_number 1
_cell_length_a 4.360
_cell_length_b 5.833
_cell_length_c 5.833
_cell_angle_alpha 90.00
_cell_angle_beta 90.00
_cell_angle_gamma 90.00
loop_
_space_group_symop_operation_xyz
'x,y,z'
loop_
_atom_site_label
_atom_site_type_symbol
_atom_site_fract_x
_atom_site_fract_y
_atom_site_fract_z
_atom_site_occupancy
Y1 Y 0.000 0.000 0.500 1
Y2 Y 0.000 0.500 0.000 1
Mg1 Mg 0.500 0.500 0.500 1
F1 F 0.500 0.000 0.000 1
Cd1 Cd 0.000 0.000 0.000 1

***

6.
# GGA-PBEsol CoTc2Ru, optimized geometry
# Space group: P2/m (10)
# ΔE_f, eV per atom: 0.12
# ρ, Mg/m³: 11.47
# Crystal system: monoclinic
# Magnetization, μB/f.u.: 0.00
data_CoTc2Ru
_space_group_name_H-M_alt 'P 1'
_space_group_IT_number 1
_cell_length_a 2.646
_cell_length_b 4.530
_cell_length_c 4.553
_cell_angle_alpha 109.19
_cell_angle_beta 90.00
_cell_angle_gamma 90.00
loop_
_space_group_symop_operation_xyz
'x,y,z'
loop_
_atom_site_label
_atom_site_type_symbol
_atom_site_fract_x
_atom_site_fract_y
_atom_site_fract_z
_atom_site_occupancy
Co1 Co 0.500 0.000 0.500 1
Ru1 Ru 0.000 0.500 0.500 1
Tc1 Tc 0.000 0.000 0.000 1
Tc2 Tc 0.500 0.500 0.000 1

***

7.
# GGA-PBEsol Sc2RuCl, optimized geometry
# Space group: P4mm (99)
# E_tot, eV/atom: -6.966
# ρ, Mg/m³: 5.22
# Crystal system: tetragonal
# Magnetization, μB/f.u.: 0.00
data_Sc2RuCl
_space_group_name_H-M_alt 'P 1'
_space_group_IT_number 1
_cell_length_a 3.697
_cell_length_b 3.697
_cell_length_c 5.273
_cell_angle_alpha 90.00
_cell_angle_beta 90.00
_cell_angle_gamma 90.00
loop_
_space_group_symop_operation_xyz
'x,y,z'
loop_
_atom_site_label
_atom_site_type_symbol
_atom_site_fract_x
_atom_site_fract_y
_atom_site_fract_z
_atom_site_occupancy
Sc1 Sc 0.000 0.000 0.877 1
Sc2 Sc 0.500 0.500 0.370 1
Ru1 Ru 0.500 0.500 0.876 1
Cl1 Cl 0.000 0.000 0.378 1

***

8.
# GGA-PBEsol Mn2H2Ru, optimized geometry
# Space group: I4/mmm (139)
# E_tot, eV/atom: -7.220
# ρ, Mg/m³: 8.75
# Crystal system: tetragonal
# Magnetization, μB/f.u.: 2.99
data_Mn2H2Ru
_space_group_name_H-M_alt 'P 1'
_space_group_IT_number 1
_cell_length_a 2.655
_cell_length_b 2.655
_cell_length_c 6.032
_cell_angle_alpha 102.71
_cell_angle_beta 102.71
_cell_angle_gamma 90.00
loop_
_space_group_symop_operation_xyz
'x,y,z'
loop_
_atom_site_label
_atom_site_type_symbol
_atom_site_fract_x
_atom_site_fract_y
_atom_site_fract_z
_atom_site_occupancy
Ru1 Ru 0.000 0.000 0.000 1
Mn1 Mn 0.348 0.348 0.696 1
Mn2 Mn 0.652 0.652 0.304 1
H1 H 0.250 0.750 0.500 1
H2 H 0.750 0.250 0.500 1